Below is a relaxed structure of CoCu4NiB2, with properties calculated at the PBE level.

Cell: 3.8526 3.8526 5.4519 Å, 90.00 90.00 90.00°
Closest atoms and distances in Å follow each position.
Positions (direct):
Co  0.0000  0.0000  0.0000  8 Cu 2.36
Cu  0.0000  0.5000  0.2511  2 Ni 2.36, 4 B 2.36, 2 Co 2.36
Cu  0.0000  0.5000  0.7489  2 Ni 2.36, 4 B 2.36, 2 Co 2.36
Cu  0.5000  0.0000  0.2511  2 Ni 2.36, 4 B 2.36, 2 Co 2.36
Cu  0.5000  0.0000  0.7489  2 Ni 2.36, 4 B 2.36, 2 Co 2.36
Ni  0.5000  0.5000  0.5000  8 Cu 2.36
B  0.0000  0.0000  0.5000  8 Cu 2.36
B  0.5000  0.5000  0.0000  8 Cu 2.36

- Calculated density: 8.1 g/cm3
- Final energy: -4.6318 eV/atom
- Total magnetic moment: 0.99 Bohr magnetons per cell
- Symmetry: P4/mmm (123)